The following is a GGA-PBE calculation of a relaxed structure of TaFe2Ge, from the Open Quantum Materials Database.

abc: 5.6709 5.6706 6.4974
angles: 90.00 90.00 90.00
Fractional coordinates of all 16 atoms:
Fe  0.0002  0.0000  0.7509
Ge  0.2500  0.7500  0.5002
Ta  0.2492  0.2500  0.5000
Ta  0.2508  0.2500  0.0000
Ge  0.2500  0.7500  0.0002
Ta  0.7492  0.7500  0.0000
Ge  0.7500  0.2500  0.4998
Fe  0.4998  0.5000  0.2509
Fe  0.5002  0.0000  0.7491
Fe  0.9998  0.0000  0.2491
Fe  0.0002  0.5000  0.7509
Fe  0.4998  0.0000  0.2509
Fe  0.9998  0.5000  0.2491
Fe  0.5002  0.5000  0.7491
Ge  0.7500  0.2500  0.9998
Ta  0.7508  0.7500  0.5000

Results
Total moment, μB/cell: 0.04
SG: No. 74
E_tot, eV per atom: -8.44

---

The following is a GGA-PBE calculation of a relaxed structure of TaFeGe, from the Open Quantum Materials Database.

abc: 6.2400 6.2400 3.7846
angles: 90.00 90.00 120.00
Fractional coordinates of all 9 atoms:
Ta  0.0000  0.5754  0.5000
Ge  0.3333  0.6667  0.0000
Ta  0.4246  0.4246  0.5000
Fe  0.2400  0.0000  0.0000
Ta  0.5754  0.0000  0.5000
Ge  0.6667  0.3333  0.0000
Fe  0.0000  0.2400  0.0000
Fe  0.7600  0.7600  0.0000
Ge  0.0000  0.0000  0.5000

Results
Total moment, μB/cell: 0.89
SG: No. 189
E_tot, eV per atom: -8.55

---

The following is a GGA-PBE calculation of a relaxed structure of TaFe2Ge, from the Open Quantum Materials Database.

abc: 3.7854 3.7854 3.8783
angles: 90.00 90.00 90.00
Fractional coordinates of all 4 atoms:
Fe  0.5000  0.0000  0.5000
Ta  0.0000  0.0000  0.0000
Fe  0.0000  0.5000  0.5000
Ge  0.5000  0.5000  0.0000

Results
Total moment, μB/cell: 4.19
SG: No. 123
E_tot, eV per atom: -8.37

---

The following is a GGA-PBE calculation of a relaxed structure of TaFe2Ge, from the Open Quantum Materials Database.

abc: 4.2314 4.2314 4.2314
angles: 60.00 60.00 60.00
Fractional coordinates of all 4 atoms:
Ta  0.2500  0.2500  0.2500
Fe  0.7500  0.7500  0.7500
Fe  0.0000  0.0000  0.0000
Ge  0.5000  0.5000  0.5000

Results
Total moment, μB/cell: 3.64
SG: No. 216
E_tot, eV per atom: -8.26

---

The following is a GGA-PBE calculation of a relaxed structure of TaFe2Ge, from the Open Quantum Materials Database.

abc: 3.0765 3.0765 5.5995
angles: 90.00 90.00 90.00
Fractional coordinates of all 4 atoms:
Ge  0.0000  0.0000  0.5000
Fe  0.5000  0.5000  0.2589
Fe  0.5000  0.5000  0.7411
Ta  0.0000  0.0000  0.0000

Results
Total moment, μB/cell: 1.12
SG: No. 123
E_tot, eV per atom: -8.43

---

The following is a GGA-PBE calculation of a relaxed structure of TaFeGe, from the Open Quantum Materials Database.

abc: 7.2968 7.2968 2.8463
angles: 90.00 90.00 120.00
Fractional coordinates of all 9 atoms:
Fe  0.0000  0.6341  0.5000
Ge  0.3333  0.6667  0.0000
Ge  0.0000  0.0000  0.5000
Ta  0.3004  0.0000  0.0000
Fe  0.3659  0.3659  0.5000
Ta  0.0000  0.3004  0.0000
Ta  0.6996  0.6996  0.0000
Ge  0.6667  0.3333  0.0000
Fe  0.6341  0.0000  0.5000

Results
Total moment, μB/cell: 3.11
SG: No. 189
E_tot, eV per atom: -8.18

---

Question: The highest total moment belongs to which entry?
Answer: number 3